# 1
The following is a DFT calculation (PBE) of an optimized crystal structure of Tm4TlPd.

Lattice parameters (Å, degrees): 9.609 9.609 9.609 60.00 60.00 60.00
Sites, in units of the cell vectors:
Tm 0.060 0.647 0.647
Tm 0.063 0.063 0.437
Tm 0.063 0.437 0.063
Tm 0.063 0.437 0.437
Tm 0.187 0.187 0.813
Tm 0.187 0.813 0.187
Tm 0.187 0.813 0.813
Tm 0.437 0.063 0.063
Tm 0.437 0.063 0.437
Tm 0.437 0.437 0.063
Tm 0.647 0.060 0.647
Tm 0.647 0.647 0.060
Tm 0.647 0.647 0.647
Tm 0.813 0.187 0.187
Tm 0.813 0.187 0.813
Tm 0.813 0.813 0.187
Tl 0.413 0.413 0.413
Tl 0.413 0.413 0.760
Tl 0.413 0.760 0.413
Tl 0.760 0.413 0.413
Pd 0.434 0.855 0.855
Pd 0.855 0.434 0.855
Pd 0.855 0.855 0.434
Pd 0.855 0.855 0.855

Properties
Energy of formation (eV/atom): -0.479
Symmetry: F-43m, No. 216
D(E_F) (states/eV/atom): 0.882
Crystal system: cubic
Calculated volume (A^3/atom): 26.14

=====

# 2
The following is a DFT calculation (PBE) of an optimized crystal structure of TlSiP2Os.

Lattice parameters (Å, degrees): 4.564 4.564 4.655 90.00 90.00 90.00
Sites, in units of the cell vectors:
Tl 0.000 0.000 0.000
Si 0.500 0.500 0.500
P 0.000 0.500 0.500
P 0.500 0.000 0.500
Os 0.500 0.500 0.000

Properties
Raw formation energy (eV/atom): 1.0721
Symmetry: P4/mmm, No. 123
D(E_F) (states/eV/atom): 0.978
Crystal system: tetragonal
Calculated volume (A^3/atom): 19.39

=====

# 3
The following is a DFT calculation (PBE) of an optimized crystal structure of Ba9SrCa2.

Lattice parameters (Å, degrees): 6.885 6.885 14.764 90.00 90.00 90.00
Sites, in units of the cell vectors:
Ba 0.000 0.000 0.000
Ba 0.000 0.000 0.336
Ba 0.000 0.000 0.664
Ba 0.000 0.500 0.173
Ba 0.000 0.500 0.500
Ba 0.000 0.500 0.827
Ba 0.500 0.000 0.173
Ba 0.500 0.000 0.500
Ba 0.500 0.000 0.827
Sr 0.500 0.500 0.000
Ca 0.500 0.500 0.336
Ca 0.500 0.500 0.664

Properties
Energy of formation (eV/atom): 0.016
Symmetry: P4/mmm, No. 123
D(E_F) (states/eV/atom): 1.280
Crystal system: tetragonal
Calculated volume (A^3/atom): 58.32

=====

# 4
The following is a DFT calculation (PBE) of an optimized crystal structure of LaHgPO2.

Lattice parameters (Å, degrees): 4.238 4.238 6.545 90.00 90.00 90.00
Sites, in units of the cell vectors:
La 0.000 0.000 0.000
Hg 0.500 0.500 0.500
P 0.000 0.000 0.500
O 0.000 0.500 0.000
O 0.500 0.000 0.000

Properties
Polymorph energy (0 for the lowest one) (meV/atom): 0.0
Raw formation energy (eV/atom): -0.8099
Symmetry: P4/mmm, No. 123
D(E_F) (states/eV/atom): 0.617
Crystal system: tetragonal
Calculated volume (A^3/atom): 23.51

=====

# 5
The following is a DFT calculation (PBE) of an optimized crystal structure of AlTc.

Lattice parameters (Å, degrees): 4.348 4.348 7.819 90.00 90.00 120.00
Sites, in units of the cell vectors:
Al 0.333 0.667 0.083
Al 0.333 0.667 0.417
Al 0.667 0.333 0.583
Al 0.667 0.333 0.917
Tc 0.000 0.000 0.250
Tc 0.000 0.000 0.750
Tc 0.333 0.667 0.750
Tc 0.667 0.333 0.250

Properties
Energy of formation (eV/atom): 0.007
Polymorph energy (0 for the lowest one) (meV/atom): 419.8
Symmetry: P6_3/mmc, No. 194
D(E_F) (states/eV/atom): 0.300
Crystal system: hexagonal
Calculated volume (A^3/atom): 16.00

=====

# 6
The following is a DFT calculation (PBE) of an optimized crystal structure of KTlNi3.

Lattice parameters (Å, degrees): 4.633 4.633 4.633 90.00 90.00 90.00
Sites, in units of the cell vectors:
K 0.000 0.000 0.000
Tl 0.500 0.500 0.500
Ni 0.000 0.000 0.500
Ni 0.000 0.500 0.000
Ni 0.500 0.000 0.000

Properties
Energy of formation (eV/atom): 1.780
Polymorph energy (0 for the lowest one) (meV/atom): 769.7
Symmetry: Pm-3m, No. 221
D(E_F) (states/eV/atom): 0.146
Crystal system: cubic
Calculated volume (A^3/atom): 19.89

=====

# 7
The following is a DFT calculation (PBE) of an optimized crystal structure of BaTlHg6.

Lattice parameters (Å, degrees): 5.302 7.248 6.153 90.00 90.00 90.00
Sites, in units of the cell vectors:
Ba 0.000 0.000 0.000
Tl 0.500 0.500 0.290
Hg 0.000 0.267 0.490
Hg 0.000 0.500 0.964
Hg 0.000 0.733 0.490
Hg 0.500 0.000 0.377
Hg 0.500 0.271 0.797
Hg 0.500 0.729 0.797

Properties
Energy of formation (eV/atom): -0.232
Polymorph energy (0 for the lowest one) (meV/atom): 0.0
Symmetry: Pmm2, No. 25
D(E_F) (states/eV/atom): 0.520
Crystal system: orthorhombic
Calculated volume (A^3/atom): 29.56

=====

# 8
The following is a DFT calculation (PBE) of an optimized crystal structure of Pr7Sm2Ho2.

Lattice parameters (Å, degrees): 6.387 6.387 10.285 91.26 91.26 112.86
Sites, in units of the cell vectors:
Pr 0.000 0.000 0.000
Pr 0.181 0.587 0.150
Pr 0.189 0.189 0.364
Pr 0.413 0.819 0.850
Pr 0.587 0.181 0.150
Pr 0.811 0.811 0.636
Pr 0.819 0.413 0.850
Sm 0.286 0.286 0.701
Sm 0.714 0.714 0.299
Ho 0.271 0.729 0.500
Ho 0.729 0.271 0.500

Properties
Energy of formation (eV/atom): 0.094
Polymorph energy (0 for the lowest one) (meV/atom): 0.0
Symmetry: C2/m, No. 12
D(E_F) (states/eV/atom): 1.477
Crystal system: monoclinic
Calculated volume (A^3/atom): 35.12